Entry 1:
Li2CaP | GGA-PBEsol | optimized geometry

Cell: 4.025 7.096 10.949 Å, 90.00 90.00 90.00°
Fractional coordinates of all 16 atoms:
Li 0.250 0.593 0.611
Li 0.750 0.876 0.534
Li 0.250 0.124 0.466
Li 0.750 0.907 0.111
Li 0.750 0.407 0.389
Li 0.750 0.376 0.966
Li 0.250 0.624 0.034
Li 0.250 0.093 0.889
Ca 0.250 0.260 0.191
Ca 0.250 0.760 0.309
Ca 0.750 0.740 0.809
Ca 0.750 0.240 0.691
P 0.750 0.057 0.333
P 0.250 0.943 0.667
P 0.750 0.557 0.167
P 0.250 0.443 0.833

## Properties
The calculation puts the formation energy at -0.731 eV/atom.

---

Entry 2:
LaAlCl2 | GGA-PBEsol | optimized geometry

Cell: 5.008 5.008 5.008 Å, 60.00 60.00 60.00°
Fractional coordinates of all 4 atoms:
La 0.500 0.500 0.500
Cl 0.250 0.250 0.250
Cl 0.750 0.750 0.750
Al 0.000 0.000 0.000

## Properties
The value obtained for the polymorph energy (0 for the lowest one) is 66 kJ/mol of formula units. The calculation puts the uncorrected formation energy at -0.961 eV per atom.

---

Entry 3:
Ca2PRu | GGA-PBEsol | optimized geometry

Cell: 3.338 4.851 4.851 Å, 109.03 90.00 90.00°
Fractional coordinates of all 4 atoms:
P 0.500 0.000 0.000
Ru 0.500 0.500 0.500
Ca 0.000 0.000 0.500
Ca 0.000 0.500 0.000

## Properties
The calculation puts the formation energy at -0.105 eV/atom.

---

Entry 4:
SnB2HS | GGA-PBEsol | optimized geometry

Cell: 3.684 3.684 5.547 Å, 90.00 90.00 90.00°
Fractional coordinates of all 5 atoms:
S 0.000 0.000 0.000
Sn 0.000 0.000 0.500
H 0.500 0.500 0.500
B 0.500 0.000 0.000
B 0.000 0.500 0.000

## Properties
The calculation puts the raw total energy at -3.673 eV per atom.

---

Entry 5:
Sr2CdPb2 | GGA-PBEsol | optimized geometry

Cell: 5.062 7.970 7.970 Å, 90.00 90.00 90.00°
Fractional coordinates of all 10 atoms:
Pb 0.000 0.639 0.139
Pb 0.000 0.139 0.361
Pb 0.000 0.861 0.639
Pb 0.000 0.361 0.861
Sr 0.500 0.167 0.667
Sr 0.500 0.833 0.333
Sr 0.500 0.333 0.167
Sr 0.500 0.667 0.833
Cd 0.000 0.000 0.000
Cd 0.000 0.500 0.500

## Properties
The calculation puts the formation energy at -0.434 eV/atom.

---

Entry 6:
Zn2CdRe | GGA-PBEsol | optimized geometry

Cell: 4.430 4.430 4.430 Å, 60.00 60.00 60.00°
Site moments in Bohr magnetons follow the coordinates.
Fractional coordinates of all 4 atoms:
Zn 0.000 0.000 0.000  0.00
Zn 0.750 0.750 0.750  -0.01
Cd 0.500 0.500 0.500  0.00
Re 0.250 0.250 0.250  0.42

## Properties
The calculation puts the formation energy at 0.653 eV/atom.

---

Entry 7:
YReTe4 | GGA-PBEsol | optimized geometry

Cell: 6.100 6.100 6.100 Å, 60.00 60.00 60.00°
Site moments in Bohr magnetons follow the coordinates.
Fractional coordinates of all 6 atoms:
Te 0.374 0.877 0.374  0.03
Te 0.374 0.374 0.877  0.03
Te 0.374 0.374 0.374  0.03
Te 0.877 0.374 0.374  0.03
Re 0.000 0.000 0.000  2.74
Y 0.750 0.750 0.750  -0.13

## Properties
The calculation puts the uncorrected formation energy at 0.967 eV per atom.

---

Entry 8:
LaMoAs2 | GGA-PBEsol | optimized geometry

Cell: 4.929 4.929 8.841 Å, 106.19 106.19 90.00°
Fractional coordinates of all 8 atoms:
As 0.710 0.375 0.250
As 0.125 0.290 0.750
As 0.540 0.875 0.250
As 0.625 0.460 0.750
Mo 0.500 0.500 0.000
Mo 0.750 0.250 0.500
La 0.250 0.750 0.500
La 0.000 0.000 0.000

## Properties
The calculation puts the formation energy at -0.185 eV/atom. The value obtained for the polymorph energy (0 for the lowest one) is 0 kJ/mol of formula units.

---

Entry 9:
ZnSiIr2 | GGA-PBEsol | optimized geometry

Cell: 2.851 3.847 5.678 Å, 109.80 104.54 90.00°
Fractional coordinates of all 4 atoms:
Zn 0.209 0.709 0.418
Si 0.470 0.470 0.939
Ir 0.033 0.033 0.067
Ir 0.788 0.288 0.576

## Properties
The calculation puts the uncorrected formation energy at -0.308 eV per atom.

---

Entry 10:
MnSi3Br | GGA-PBEsol | optimized geometry

Cell: 4.844 4.844 4.844 Å, 90.00 90.00 90.00°
Site moments in Bohr magnetons follow the coordinates.
Fractional coordinates of all 5 atoms:
Si 0.500 0.000 0.000  -0.03
Si 0.000 0.500 0.000  -0.03
Si 0.000 0.000 0.500  -0.03
Br 0.000 0.000 0.000  0.00
Mn 0.500 0.500 0.500  4.26

## Properties
The calculation puts the uncorrected formation energy at 1.576 eV per atom.

---

Entry 11:
MgCuO2 | GGA-PBEsol | optimized geometry

Cell: 2.863 7.467 7.435 Å, 97.64 90.00 90.00°
Site moments in Bohr magnetons follow the coordinates.
Fractional coordinates of all 16 atoms:
Mg 0.250 0.184 0.068  0.00
Mg 0.750 0.816 0.932  0.00
Mg 0.250 0.455 0.824  0.00
Mg 0.750 0.545 0.176  0.00
Cu 0.250 0.904 0.288  0.40
Cu 0.250 0.689 0.557  -0.38
Cu 0.750 0.311 0.443  -0.38
Cu 0.750 0.096 0.712  0.40
O 0.250 0.234 0.601  -0.01
O 0.750 0.766 0.399  -0.01
O 0.750 0.021 0.170  0.13
O 0.250 0.668 0.041  -0.01
O 0.250 0.389 0.295  -0.11
O 0.250 0.979 0.830  0.13
O 0.750 0.332 0.959  -0.01
O 0.750 0.611 0.705  -0.11

## Properties
The calculation puts the uncorrected formation energy at -1.577 eV per atom.

---

Entry 12:
Zn2InP | GGA-PBEsol | optimized geometry

Cell: 4.650 4.650 4.650 Å, 60.00 60.00 60.00°
Fractional coordinates of all 4 atoms:
In 0.000 0.000 0.000
P 0.500 0.500 0.500
Zn 0.750 0.750 0.750
Zn 0.250 0.250 0.250

## Properties
The calculation puts the formation energy at 0.313 eV/atom.

---

Entry 13:
FeCo2Os | GGA-PBEsol | optimized geometry

Cell: 2.529 2.529 8.120 Å, 90.00 90.00 113.71°
Site moments in Bohr magnetons follow the coordinates.
Fractional coordinates of all 4 atoms:
Co 0.000 0.000 0.263  1.59
Co 0.000 0.000 0.737  1.59
Fe 0.500 0.500 0.500  2.64
Os 0.500 0.500 0.000  0.18

## Properties
The calculation puts the formation energy at 0.301 eV/atom. The value obtained for the polymorph energy (0 for the lowest one) is 0 kJ/mol of formula units.

---

Entry 14:
TaRu2 | GGA-PBEsol | optimized geometry

Cell: 4.194 5.337 7.924 Å, 90.00 90.00 90.00°
Fractional coordinates of all 12 atoms:
Ru 0.750 0.450 0.728
Ru 0.250 0.050 0.228
Ru 0.250 0.669 0.939
Ru 0.250 0.550 0.272
Ru 0.750 0.331 0.061
Ru 0.750 0.950 0.772
Ru 0.250 0.169 0.561
Ru 0.750 0.831 0.439
Ta 0.750 0.321 0.395
Ta 0.250 0.679 0.605
Ta 0.250 0.179 0.895
Ta 0.750 0.821 0.105

## Properties
The calculation puts the formation energy at -0.244 eV/atom.

---

Entry 15:
FeTc | GGA-PBEsol | optimized geometry

Cell: 2.595 4.858 6.083 Å, 103.67 90.00 105.49°
Fractional coordinates of all 6 atoms:
Fe 0.395 0.790 0.272
Fe 0.334 0.668 0.668
Fe 0.996 0.992 0.002
Tc 0.042 0.084 0.612
Tc 0.672 0.343 0.331
Tc 0.728 0.456 0.948

## Properties
The calculation puts the formation energy at 0.025 eV/atom.

---

Entry 16:
Eu2MgSn | GGA-PBEsol | optimized geometry

Cell: 5.456 5.456 5.456 Å, 60.00 60.00 60.00°
Site moments in Bohr magnetons follow the coordinates.
Fractional coordinates of all 4 atoms:
Eu 0.250 0.250 0.250  6.85
Eu 0.750 0.750 0.750  6.85
Mg 0.000 0.000 0.000  0.01
Sn 0.500 0.500 0.500  -0.06

## Properties
The calculation puts the formation energy at -0.492 eV/atom.

---

Entry 17:
Sc2AgAu | GGA-PBEsol | optimized geometry

Cell: 4.752 4.752 4.752 Å, 60.00 60.00 60.00°
Fractional coordinates of all 4 atoms:
Sc 0.250 0.250 0.250
Sc 0.750 0.750 0.750
Au 0.500 0.500 0.500
Ag 0.000 0.000 0.000

## Properties
The calculation puts the formation energy at -0.575 eV/atom. The value obtained for the polymorph energy (0 for the lowest one) is 0 kJ/mol of formula units.

---

Entry 18:
ZrReSi2 | GGA-PBEsol | optimized geometry

Cell: 3.828 3.828 4.940 Å, 112.80 112.80 90.00°
Fractional coordinates of all 4 atoms:
Si 0.000 0.000 0.000
Si 0.750 0.250 0.500
Re 0.250 0.750 0.500
Zr 0.500 0.500 0.000

## Properties
The calculation puts the uncorrected formation energy at -0.245 eV per atom.

---

Entry 19:
LiMn2OF3 | GGA-PBEsol | optimized geometry

Cell: 6.159 6.159 6.184 Å, 60.14 60.14 60.00°
Site moments in Bohr magnetons follow the coordinates.
Fractional coordinates of all 14 atoms:
Mn 0.498 0.498 0.997  4.43
Mn 0.849 0.849 0.453  -4.29
Mn 0.498 0.008 0.997  4.43
Mn 0.008 0.498 0.997  4.43
F 0.747 0.265 0.723  0.07
F 0.741 0.253 0.265  0.02
F 0.741 0.741 0.265  0.02
F 0.265 0.747 0.723  0.07
F 0.265 0.265 0.723  0.07
F 0.253 0.741 0.265  0.02
O 0.272 0.272 0.185  0.13
O 0.724 0.724 0.827  0.02
Li 0.498 0.498 0.506  0.00
Li 0.142 0.142 0.574  0.00

## Properties
The value obtained for the polymorph energy (0 for the lowest one) is 4 kJ/mol of formula units. The calculation puts the uncorrected formation energy at -2.094 eV per atom.

---

Entry 20:
CaY2Ir | GGA-PBEsol | optimized geometry

Cell: 3.559 5.077 6.492 Å, 113.02 105.91 90.00°
Fractional coordinates of all 4 atoms:
Ir 0.258 0.758 0.517
Ca 0.556 0.556 0.112
Y 0.938 0.938 0.876
Y 0.748 0.248 0.495

## Properties
The calculation puts the formation energy at -0.301 eV/atom.